! PBE-GGA Zr3IrSe, relaxed; values from VASP
! - SG: No. 221
! - Uncorrected formation energy: 0.116 eV per formula unit
&SYSTEM
  ibrav = 0, nat = 5, ntyp = 3
/
ATOMIC_SPECIES
Zr 91.22 Zr.upf
Ir 192.22 Ir.upf
Se 78.96 Se.upf
CELL_PARAMETERS angstrom
5.076 0.000 0.000
0.000 5.076 0.000
0.000 0.000 5.076
ATOMIC_POSITIONS angstrom
Zr 0.000 0.000 2.538
Zr 0.000 2.538 0.000
Zr 2.538 0.000 0.000
Ir 0.000 0.000 0.000
Se 2.538 2.538 2.538

***

! PBE-GGA TlSiAu2, relaxed; values from VASP
! - SG: No. 65
! - Uncorrected formation energy: 1.170 eV per formula unit
&SYSTEM
  ibrav = 0, nat = 4, ntyp = 3
/
ATOMIC_SPECIES
Tl 204.38 Tl.upf
Si 28.09 Si.upf
Au 196.97 Au.upf
CELL_PARAMETERS angstrom
2.954 -3.637 0.000
2.954 3.637 0.000
0.000 0.000 3.797
ATOMIC_POSITIONS angstrom
Tl 0.000 0.000 0.000
Si 2.954 0.000 0.000
Au 1.477 1.819 1.898
Au 1.477 -1.819 1.898

***

! PBE-GGA Ac2Mg4In3Ag, relaxed; values from VASP
! - SG: No. 115
! - Formation energy from the elements: -2.9 eV per formula unit
&SYSTEM
  ibrav = 0, nat = 10, ntyp = 4
/
ATOMIC_SPECIES
Ac 227.00 Ac.upf
Mg 24.30 Mg.upf
In 114.82 In.upf
Ag 107.87 Ag.upf
CELL_PARAMETERS angstrom
4.799 0.000 0.000
0.000 4.799 0.000
0.000 0.000 11.895
ATOMIC_POSITIONS angstrom
Ac 0.000 2.399 2.918
Ac 2.399 0.000 8.977
Mg 0.000 0.000 5.948
Mg 0.000 2.399 10.434
Mg 2.399 0.000 1.462
Mg 2.399 2.399 5.948
In 0.000 0.000 0.000
In 0.000 2.399 7.646
In 2.399 0.000 4.249
Ag 2.399 2.399 0.000

***

! PBE-GGA CeHo4Sc2, relaxed; values from VASP
! - SG: No. 11
! - Formation energy from the elements: 1.1 eV per formula unit
&SYSTEM
  ibrav = 0, nat = 14, ntyp = 3
/
ATOMIC_SPECIES
Ce 140.12 Ce.upf
Ho 164.93 Ho.upf
Sc 44.96 Sc.upf
CELL_PARAMETERS angstrom
5.399 0.000 0.000
0.000 6.687 0.000
-2.698 0.000 11.269
ATOMIC_POSITIONS angstrom
Ce 0.009 1.672 1.672
Ce 2.691 5.015 9.598
Ho -0.004 5.015 1.649
Ho 0.001 1.672 4.857
Ho 0.000 3.348 7.969
Ho 0.000 6.683 7.969
Ho 2.701 0.004 3.301
Ho 2.701 3.339 3.301
Ho 2.699 5.015 6.413
Ho 2.705 1.672 9.620
Sc 0.000 5.015 4.816
Sc -0.007 5.015 11.168
Sc 2.708 1.672 0.101
Sc 2.701 1.672 6.454

***

! PBE-GGA SbTe2Cl, relaxed; values from VASP
! - SG: No. 35
! - Uncorrected formation energy: 0.213 eV per formula unit
&SYSTEM
  ibrav = 0, nat = 4, ntyp = 3
/
ATOMIC_SPECIES
Sb 121.76 Sb.upf
Te 127.60 Te.upf
Cl 35.45 Cl.upf
CELL_PARAMETERS angstrom
1.931 -2.703 0.000
1.931 2.703 0.000
0.000 0.000 11.560
ATOMIC_POSITIONS angstrom
Sb 0.000 0.000 0.000
Te 0.000 0.000 5.657
Te 1.931 0.000 2.406
Cl 1.931 0.000 9.568

***

! PBE-GGA ZrTcRu2, relaxed; values from VASP
! - SG: No. 6
! - Formation energy from the elements: -0.2 eV per formula unit
&SYSTEM
  ibrav = 0, nat = 4, ntyp = 3
/
ATOMIC_SPECIES
Zr 91.22 Zr.upf
Tc 98.00 Tc.upf
Ru 101.07 Ru.upf
CELL_PARAMETERS angstrom
2.985 0.000 0.000
0.000 4.532 0.000
-0.040 0.000 4.703
ATOMIC_POSITIONS angstrom
Zr 0.000 0.000 0.000
Tc 0.057 2.266 2.708
Ru 1.488 2.266 0.271
Ru 1.488 0.000 2.265

***

! PBE-GGA Er2MgZn3Cu12, relaxed; values from VASP
! - SG: No. 166
! - Formation energy from the elements: 0.5 eV per formula unit
&SYSTEM
  ibrav = 0, nat = 18, ntyp = 4
/
ATOMIC_SPECIES
Er 167.26 Er.upf
Mg 24.30 Mg.upf
Zn 65.41 Zn.upf
Cu 63.55 Cu.upf
CELL_PARAMETERS angstrom
4.378 2.528 4.106
-4.378 2.528 4.106
0.000 -5.056 4.106
ATOMIC_POSITIONS angstrom
Er 0.000 0.000 2.515
Er 0.000 0.000 9.804
Mg 0.000 0.000 6.160
Zn -2.189 -1.264 4.106
Zn -2.189 1.264 8.213
Zn 0.000 2.528 4.106
Cu 0.000 -2.767 3.305
Cu -2.396 1.384 3.305
Cu -2.130 -1.230 6.634
Cu 0.000 -2.459 5.685
Cu -2.130 1.230 5.685
Cu -2.396 -1.384 9.014
Cu 2.396 1.384 3.305
Cu 2.130 -1.230 6.634
Cu 0.000 2.459 6.634
Cu 2.130 1.230 5.685
Cu 2.396 -1.384 9.014
Cu 0.000 2.767 9.014

***

! PBE-GGA CePm3Ho8, relaxed; values from VASP
! - SG: No. 71
! - Formation energy from the elements: 3.7 eV per formula unit
&SYSTEM
  ibrav = 0, nat = 12, ntyp = 3
/
ATOMIC_SPECIES
Ce 140.12 Ce.upf
Pm 145.00 Pm.upf
Ho 164.93 Ho.upf
CELL_PARAMETERS angstrom
-3.207 5.652 5.700
3.207 -5.652 5.700
3.207 5.652 -5.700
ATOMIC_POSITIONS angstrom
Ce 0.000 0.000 0.000
Pm 3.207 0.000 2.766
Pm 0.000 0.000 5.700
Pm 0.000 5.652 2.934
Ho 3.207 3.731 -2.857
Ho 1.603 2.778 0.000
Ho 4.811 2.778 0.000
Ho 0.000 1.921 2.843
Ho 3.207 3.731 2.857
Ho -1.604 2.874 5.700
Ho 1.604 2.874 5.700
Ho 0.000 1.921 8.557

***

! PBE-GGA Na2Al2Si, relaxed; values from VASP
! - SG: No. 127
! - Uncorrected formation energy: 0.693 eV per formula unit
&SYSTEM
  ibrav = 0, nat = 10, ntyp = 3
/
ATOMIC_SPECIES
Na 22.99 Na.upf
Al 26.98 Al.upf
Si 28.09 Si.upf
CELL_PARAMETERS angstrom
6.610 0.000 0.000
0.000 6.610 0.000
0.000 0.000 5.173
ATOMIC_POSITIONS angstrom
Na 1.155 2.150 0.000
Na 2.150 5.454 0.000
Na 4.460 1.155 0.000
Na 5.454 4.460 0.000
Al 0.920 4.225 2.587
Al 2.385 0.920 2.587
Al 4.225 5.690 2.587
Al 5.690 2.385 2.587
Si 0.000 0.000 2.587
Si 3.305 3.305 2.587

***

! PBE-GGA Sc4GaSiC, relaxed; values from VASP
! - SG: No. 63
! - Uncorrected formation energy: -4.093 eV per formula unit
&SYSTEM
  ibrav = 0, nat = 14, ntyp = 4
/
ATOMIC_SPECIES
Sc 44.96 Sc.upf
Ga 69.72 Ga.upf
Si 28.09 Si.upf
C 12.01 C.upf
CELL_PARAMETERS angstrom
3.093 -7.047 0.000
3.093 7.047 0.000
0.000 0.000 6.180
ATOMIC_POSITIONS angstrom
Sc 1.547 3.524 0.000
Sc 1.547 3.524 3.090
Sc 3.093 5.872 4.635
Sc 3.093 1.212 4.635
Sc 1.547 -3.524 0.000
Sc 1.547 -3.524 3.090
Sc 3.093 -1.212 1.545
Sc 3.093 -5.872 1.545
Ga 3.093 1.597 1.545
Ga 3.093 -1.597 4.635
Si 3.093 5.417 1.545
Si 3.093 -5.417 4.635
C 3.093 3.532 4.635
C 3.093 -3.532 1.545

***

! PBE-GGA CoNiGeAs2, relaxed; values from VASP
! - SG: No. 123
! - Formation energy from the elements: 2.7 eV per formula unit
&SYSTEM
  ibrav = 0, nat = 5, ntyp = 4
/
ATOMIC_SPECIES
Co 58.93 Co.upf
Ni 58.69 Ni.upf
Ge 72.64 Ge.upf
As 74.92 As.upf
CELL_PARAMETERS angstrom
4.370 0.000 0.000
0.000 4.370 0.000
0.000 0.000 4.719
ATOMIC_POSITIONS angstrom
Co 0.000 0.000 0.000
Ni 0.000 0.000 2.360
Ge 2.185 2.185 2.360
As 0.000 2.185 0.000
As 2.185 0.000 0.000

***

! PBE-GGA YHo3Ir2, relaxed; values from VASP
! - SG: No. 72
! - Formation energy from the elements: -3.9 eV per formula unit
&SYSTEM
  ibrav = 0, nat = 12, ntyp = 3
/
ATOMIC_SPECIES
Y 88.91 Y.upf
Ho 164.93 Ho.upf
Ir 192.22 Ir.upf
CELL_PARAMETERS angstrom
-3.367 6.780 3.515
3.367 -6.780 3.515
3.367 6.780 -3.515
ATOMIC_POSITIONS angstrom
Y 0.000 0.000 0.000
Y 0.000 0.000 3.515
Ho 3.367 3.598 -1.757
Ho 3.367 0.000 1.757
Ho 0.000 3.181 1.757
Ho 3.367 3.598 1.757
Ho 0.000 6.780 1.757
Ho 0.000 3.181 5.272
Ir 4.792 1.881 0.000
Ir 1.425 4.899 0.000
Ir 1.942 1.881 3.515
Ir -1.425 4.899 3.515

***

! PBE-GGA Na5Tl2CdAu2, relaxed; values from VASP
! - SG: No. 127
! - Formation energy from the elements: -1.4 eV per formula unit
&SYSTEM
  ibrav = 0, nat = 20, ntyp = 4
/
ATOMIC_SPECIES
Na 22.99 Na.upf
Tl 204.38 Tl.upf
Cd 112.41 Cd.upf
Au 196.97 Au.upf
CELL_PARAMETERS angstrom
12.427 0.000 0.000
0.000 12.427 0.000
0.000 0.000 3.611
ATOMIC_POSITIONS angstrom
Na 0.000 6.214 0.000
Na 0.342 2.646 0.000
Na 2.646 12.086 0.000
Na 3.568 5.872 0.000
Na 5.872 8.860 0.000
Na 6.214 0.000 0.000
Na 6.555 3.568 0.000
Na 8.860 6.555 0.000
Na 9.781 0.342 0.000
Na 12.086 9.781 0.000
Tl 2.475 8.688 1.805
Tl 3.739 2.475 1.805
Tl 8.688 9.952 1.805
Tl 9.952 3.739 1.805
Cd 0.000 0.000 1.805
Cd 6.214 6.214 1.805
Au 1.692 4.522 1.805
Au 4.522 10.735 1.805
Au 7.906 1.692 1.805
Au 10.735 7.906 1.805

***

! PBE-GGA Ca2TbTl3, relaxed; values from VASP
! - SG: No. 123
! - Formation energy from the elements: -2.4 eV per formula unit
&SYSTEM
  ibrav = 0, nat = 6, ntyp = 3
/
ATOMIC_SPECIES
Ca 40.08 Ca.upf
Tb 158.93 Tb.upf
Tl 204.38 Tl.upf
CELL_PARAMETERS angstrom
3.854 0.000 0.000
0.000 3.854 0.000
0.000 0.000 11.613
ATOMIC_POSITIONS angstrom
Ca 0.000 0.000 1.935
Ca 0.000 0.000 9.677
Tb 0.000 0.000 5.806
Tl 1.927 1.927 0.000
Tl 1.927 1.927 3.925
Tl 1.927 1.927 7.688

***

! PBE-GGA LaUC2, relaxed; values from VASP
! - SG: No. 160
! - Formation energy from the elements: 0.0 eV per formula unit
&SYSTEM
  ibrav = 0, nat = 4, ntyp = 3
/
ATOMIC_SPECIES
La 138.91 La.upf
U 238.03 U.upf
C 12.01 C.upf
CELL_PARAMETERS angstrom
1.805 1.042 6.089
-1.805 1.042 6.089
0.000 -2.084 6.089
ATOMIC_POSITIONS angstrom
La 0.000 0.000 0.000
U 0.000 0.000 3.124
C 0.000 0.000 10.421
C 0.000 0.000 14.217

***

! PBE-GGA CaPtAu2, relaxed; values from VASP
! - SG: No. 123
! - Formation energy from the elements: -2.3 eV per formula unit
&SYSTEM
  ibrav = 0, nat = 4, ntyp = 3
/
ATOMIC_SPECIES
Ca 40.08 Ca.upf
Pt 195.08 Pt.upf
Au 196.97 Au.upf
CELL_PARAMETERS angstrom
4.267 0.000 0.000
0.000 4.267 0.000
0.000 0.000 4.131
ATOMIC_POSITIONS angstrom
Ca 0.000 0.000 0.000
Pt 2.134 2.134 0.000
Au 0.000 2.134 2.065
Au 2.134 0.000 2.065

***

! PBE-GGA Cs2BeGa, relaxed; values from VASP
! - SG: No. 122
! - Formation energy from the elements: 1.2 eV per formula unit
&SYSTEM
  ibrav = 0, nat = 8, ntyp = 3
/
ATOMIC_SPECIES
Cs 132.91 Cs.upf
Be 9.01 Be.upf
Ga 69.72 Ga.upf
CELL_PARAMETERS angstrom
-6.953 6.953 2.204
6.953 -6.953 2.204
6.953 6.953 -2.204
ATOMIC_POSITIONS angstrom
Cs 0.891 3.476 0.551
Cs -3.476 6.062 1.653
Cs -0.891 10.429 0.551
Cs 3.476 7.844 1.653
Be 0.000 0.000 0.000
Be 0.000 6.953 1.102
Ga 6.953 0.000 1.102
Ga 0.000 0.000 2.204

***

! PBE-GGA Tc2PRu, relaxed; values from VASP
! - SG: No. 71
! - Formation energy from the elements: -0.9 eV per formula unit
&SYSTEM
  ibrav = 0, nat = 4, ntyp = 3
/
ATOMIC_SPECIES
Tc 98.00 Tc.upf
P 30.97 P.upf
Ru 101.07 Ru.upf
CELL_PARAMETERS angstrom
-1.449 2.162 4.351
1.449 -2.162 4.351
1.449 2.162 -4.351
ATOMIC_POSITIONS angstrom
Tc 0.000 0.000 1.886
Tc 0.000 0.000 6.816
P 1.449 0.000 0.000
Ru 0.000 2.162 0.000

***

! PBE-GGA InSiPb2, relaxed; values from VASP
! - SG: No. 25
! - Uncorrected formation energy: 1.063 eV per formula unit
&SYSTEM
  ibrav = 0, nat = 4, ntyp = 3
/
ATOMIC_SPECIES
In 114.82 In.upf
Si 28.09 Si.upf
Pb 207.20 Pb.upf
CELL_PARAMETERS angstrom
3.558 0.000 0.000
0.000 3.789 0.000
0.000 0.000 7.842
ATOMIC_POSITIONS angstrom
In 0.000 0.000 0.000
Si 1.779 1.895 6.416
Pb 0.000 0.000 4.574
Pb 1.779 1.895 2.116

***

! PBE-GGA BaZnCl, relaxed; values from VASP
! - SG: No. 38
! - Uncorrected formation energy: -2.840 eV per formula unit
&SYSTEM
  ibrav = 0, nat = 6, ntyp = 3
/
ATOMIC_SPECIES
Ba 137.33 Ba.upf
Zn 65.41 Zn.upf
Cl 35.45 Cl.upf
CELL_PARAMETERS angstrom
12.332 0.000 0.000
0.000 2.437 4.222
0.000 -2.437 4.222
ATOMIC_POSITIONS angstrom
Ba 2.145 0.000 0.000
Ba 10.188 0.000 0.000
Zn 0.000 0.000 5.631
Zn 6.166 0.000 8.421
Cl 3.446 0.000 5.629
Cl 8.887 0.000 5.629

***

! PBE-GGA Pu2CdGa4Au3, relaxed; values from VASP
! - SG: No. 115
! - Formation energy from the elements: -3.5 eV per formula unit
&SYSTEM
  ibrav = 0, nat = 10, ntyp = 4
/
ATOMIC_SPECIES
Pu 244.00 Pu.upf
Cd 112.41 Cd.upf
Ga 69.72 Ga.upf
Au 196.97 Au.upf
CELL_PARAMETERS angstrom
4.316 0.000 0.000
0.000 4.316 0.000
0.000 0.000 11.256
ATOMIC_POSITIONS angstrom
Pu 0.000 2.158 2.765
Pu 2.158 0.000 8.492
Cd 0.000 0.000 5.628
Ga 0.000 0.000 0.000
Ga 0.000 2.158 7.252
Ga 2.158 0.000 4.004
Ga 2.158 2.158 0.000
Au 0.000 2.158 9.761
Au 2.158 0.000 1.495
Au 2.158 2.158 5.628

***

! PBE-GGA Pr3PuO7, relaxed; values from VASP
! - SG: No. 63
! - Uncorrected formation energy: -35.557 eV per formula unit
&SYSTEM
  ibrav = 0, nat = 22, ntyp = 3
/
ATOMIC_SPECIES
Pr 140.91 Pr.upf
Pu 244.00 Pu.upf
O 16.00 O.upf
CELL_PARAMETERS angstrom
3.918 -5.582 0.000
3.918 5.582 0.000
0.000 0.000 7.985
ATOMIC_POSITIONS angstrom
Pr 0.000 0.000 0.000
Pr 0.000 0.000 3.993
Pr 2.097 2.607 5.989
Pr 5.740 2.607 5.989
Pr 2.097 -2.607 1.996
Pr 5.740 -2.607 1.996
Pu 3.918 0.000 0.000
Pu 3.918 0.000 3.993
O 3.918 4.125 1.996
O 3.918 4.091 5.989
O 2.332 1.374 0.226
O 2.332 1.374 3.767
O 3.918 0.912 5.989
O 2.332 -1.374 4.219
O 2.332 -1.374 7.759
O 5.505 1.374 0.226
O 5.505 1.374 3.767
O 3.918 -0.912 1.996
O 5.505 -1.374 4.219
O 5.505 -1.374 7.759
O 3.918 -4.091 1.996
O 3.918 -4.125 5.989

***

! PBE-GGA Ac2Nd3Er4, relaxed; values from VASP
! - SG: No. 58
! - Formation energy from the elements: 1.1 eV per formula unit
&SYSTEM
  ibrav = 0, nat = 18, ntyp = 3
/
ATOMIC_SPECIES
Ac 227.00 Ac.upf
Nd 144.24 Nd.upf
Er 167.26 Er.upf
CELL_PARAMETERS angstrom
7.284 0.000 0.000
0.000 15.842 0.000
0.000 0.000 5.707
ATOMIC_POSITIONS angstrom
Ac 1.195 1.512 0.000
Ac 2.447 9.434 2.854
Ac 4.837 6.409 2.854
Ac 6.089 14.330 0.000
Nd 0.000 7.921 0.000
Nd 0.783 13.153 2.854
Nd 2.859 5.232 0.000
Nd 3.642 0.000 2.854
Nd 4.425 10.611 0.000
Nd 6.501 2.689 2.854
Er 0.680 11.194 0.000
Er 0.972 5.973 2.854
Er 2.670 13.894 0.000
Er 2.962 3.273 2.854
Er 4.322 12.569 2.854
Er 4.614 1.948 0.000
Er 6.312 9.869 2.854
Er 6.604 4.648 0.000

***

no.,DFT total energy (eV/atom)
1,-7.575
2,-3.293
3,-2.851
4,-5.112
5,-3.010
6,-9.426
7,-3.513
8,-4.425
9,-2.971
10,-6.728
11,-4.829
12,-6.971
13,-2.019
14,-3.030
15,-8.677
16,-4.219
17,-1.809
18,-9.082
19,-3.629
20,-2.628
21,-5.506
22,-8.994
23,-4.403